No. 1
Here is crystalline DyTlPdPb at its relaxed geometry from the Alexandria database. Energies are from PBE.

a = 5.139 Å, b = 5.139 Å, c = 5.139 Å
α = 60.00°, β = 60.00°, γ = 60.00°
Positions (direct):
Dy (0.000, 0.000, 0.000)
Tl (0.250, 0.250, 0.250)
Pd (0.750, 0.750, 0.750)
Pb (0.500, 0.500, 0.500)

energy of formation = -0.34 eV/atom
ρ = 11.78 g/cm³
size of the total moment = 0.0000 μB per atom

---

No. 2
Here is crystalline DyZrPdPb at its relaxed geometry from the Alexandria database. Energies are from PBE.

a = 5.073 Å, b = 5.073 Å, c = 5.073 Å
α = 60.00°, β = 60.00°, γ = 60.00°
Positions (direct):
Dy (0.000, 0.000, 0.000)
Zr (0.500, 0.500, 0.500)
Pd (0.250, 0.250, 0.250)
Pb (0.750, 0.750, 0.750)

energy of formation = -0.40 eV/atom
ρ = 10.21 g/cm³
size of the total moment = 0.3126 μB per atom

---

No. 3
Here is crystalline Pm2DyPb at its relaxed geometry from the Alexandria database. Energies are from PBE.

a = 5.566 Å, b = 5.566 Å, c = 5.566 Å
α = 60.00°, β = 60.00°, γ = 60.00°
Positions (direct):
Pm (0.250, 0.250, 0.250)
Pm (0.750, 0.750, 0.750)
Dy (0.000, 0.000, 0.000)
Pb (0.500, 0.500, 0.500)

energy of formation = -0.14 eV/atom
ρ = 8.98 g/cm³
relative energy among the computed polymorphs = 170 meV per atom
size of the total moment = 0.0576 μB per atom

---

No. 4
Here is crystalline Pm8Dy6Pb at its relaxed geometry from the Alexandria database. Energies are from PBE.

a = 9.334 Å, b = 9.334 Å, c = 6.588 Å
α = 90.00°, β = 90.00°, γ = 120.00°
Positions (direct):
Pm (0.040, 0.768, 0.177)
Pm (0.232, 0.273, 0.177)
Pm (0.273, 0.040, 0.823)
Pm (0.333, 0.667, 0.140)
Pm (0.667, 0.333, 0.860)
Pm (0.727, 0.960, 0.177)
Pm (0.768, 0.727, 0.823)
Pm (0.960, 0.232, 0.823)
Dy (0.097, 0.650, 0.664)
Dy (0.350, 0.447, 0.664)
Dy (0.447, 0.097, 0.336)
Dy (0.553, 0.903, 0.664)
Dy (0.650, 0.553, 0.336)
Dy (0.903, 0.350, 0.336)
Pb (0.000, 0.000, 0.500)

energy of formation = 0.07 eV/atom
ρ = 7.82 g/cm³
size of the total moment = 0.0001 μB per atom